1.
First-principles (GGA-PBEsol) data for an optimized crystal structure of Sr3TaPt, as listed in Alexandria via LeMat-Bulk.

Unit cell a=5.536 b=5.536 c=5.536 alpha=90.00 beta=90.00 gamma=90.00
Fractional positions:
1 Sr 0.000 0.500 0.000
2 Sr 0.000 0.000 0.500
3 Sr 0.500 0.000 0.000
4 Ta 0.000 0.000 0.000
5 Pt 0.500 0.500 0.500

## Properties
SG: Pm-3m, No. 221
DFT formation energy, eV/atom: 1.353



2.
First-principles (GGA-PBEsol) data for an optimized crystal structure of Cs2Sb2Br, as listed in Alexandria via LeMat-Bulk.

Unit cell a=4.285 b=4.285 c=11.085 alpha=101.15 beta=101.15 gamma=90.00
Fractional positions:
1 Cs 0.596 0.596 0.192
2 Cs 0.404 0.404 0.808
3 Sb 0.750 0.250 0.500
4 Sb 0.250 0.750 0.500
5 Br 0.000 0.000 0.000

## Properties
Formation energy from raw total energies, eV/f.u.: -4.262
SG: I4/mmm, No. 139



3.
First-principles (GGA-PBEsol) data for an optimized crystal structure of CrBr2Cl, as listed in Alexandria via LeMat-Bulk.

Unit cell a=4.113 b=4.767 c=6.025 alpha=105.63 beta=101.25 gamma=111.69
Site moments in Bohr magnetons follow the coordinates.
Fractional positions:
1 Br 0.000 0.000 0.500  -0.02
2 Br 0.500 0.500 0.500  -0.02
3 Cr 0.500 0.000 0.000  4.00
4 Cl 0.000 0.500 0.000  -0.02

## Properties
Formation energy from raw total energies, eV/f.u.: 0.387
SG: C2/m, No. 12



4.
First-principles (GGA-PBEsol) data for an optimized crystal structure of ZrTlW, as listed in Alexandria via LeMat-Bulk.

Unit cell a=4.643 b=4.643 c=4.643 alpha=60.00 beta=60.00 gamma=60.00
Site moments in Bohr magnetons follow the coordinates.
Fractional positions:
1 Tl 0.000 0.000 0.000  -0.02
2 W 0.500 0.500 0.500  0.71
3 Zr 0.250 0.250 0.250  0.06

## Properties
SG: F-43m, No. 216
DFT formation energy, eV/atom: 1.353



5.
First-principles (GGA-PBEsol) data for an optimized crystal structure of NiIr2Br, as listed in Alexandria via LeMat-Bulk.

Unit cell a=3.987 b=4.547 c=3.987 alpha=64.00 beta=90.00 gamma=116.00
Fractional positions:
1 Ni 0.500 0.000 0.500
2 Br 0.000 0.000 0.000
3 Ir 0.750 0.500 0.750
4 Ir 0.250 0.500 0.250

## Properties
Formation energy from raw total energies, eV/f.u.: 3.872
SG: I4/mmm, No. 139



6.
First-principles (GGA-PBEsol) data for an optimized crystal structure of K3VH6C4O13, as listed in Alexandria via LeMat-Bulk.

Unit cell a=7.409 b=7.829 c=11.868 alpha=89.46 beta=95.16 gamma=109.47
Fractional positions:
1 O 0.141 0.682 0.695
2 O 0.096 0.873 0.947
3 O 0.281 0.668 0.277
4 O 0.089 0.375 0.819
5 O 0.458 0.496 0.708
6 O 0.304 0.083 0.601
7 O 0.513 0.250 0.012
8 O 0.487 0.750 0.988
9 O 0.188 0.915 0.132
10 O 0.955 0.297 0.578
11 O 0.222 0.413 0.000
12 O 0.822 0.677 0.542
13 O 0.542 0.504 0.292
14 O 0.778 0.587 0.000
15 O 0.904 0.127 0.053
16 O 0.719 0.332 0.723
17 O 0.673 0.998 0.661
18 O 0.327 0.002 0.339
19 O 0.045 0.703 0.422
20 O 0.063 0.078 0.706
21 O 0.696 0.917 0.399
22 O 0.812 0.085 0.868
23 O 0.859 0.318 0.305
24 O 0.937 0.922 0.294
25 O 0.911 0.625 0.181
26 O 0.178 0.323 0.458
27 H 0.381 0.632 0.991
28 H 0.399 0.288 0.012
29 H 0.353 0.452 0.758
30 H 0.647 0.548 0.242
31 H 0.601 0.712 0.988
32 H 0.619 0.368 0.009
33 H 0.034 0.648 0.634
34 H 0.463 0.586 0.283
35 H 0.876 0.429 0.261
36 H 0.124 0.571 0.739
37 H 0.537 0.414 0.717
38 H 0.966 0.352 0.366
39 C 0.075 0.830 0.046
40 C 0.925 0.170 0.954
41 C 0.166 0.129 0.622
42 C 0.094 0.335 0.923
43 C 0.834 0.871 0.378
44 C 0.100 0.261 0.545
45 C 0.900 0.739 0.455
46 C 0.906 0.665 0.077
47 K 0.181 0.261 0.223
48 K 0.583 0.272 0.467
49 K 0.417 0.728 0.533
50 K 0.819 0.739 0.777
51 K 0.601 0.018 0.173
52 K 0.399 0.982 0.827
53 V 0.834 0.184 0.714
54 V 0.166 0.816 0.286

## Properties
Final energy, eV per atom: -6.6208
SG: P-1, No. 2



7.
First-principles (GGA-PBEsol) data for an optimized crystal structure of Pt2Au, as listed in Alexandria via LeMat-Bulk.

Unit cell a=3.991 b=3.960 c=6.246 alpha=90.00 beta=108.63 gamma=90.00
Fractional positions:
1 Pt 0.748 0.750 0.497
2 Pt 0.584 0.250 0.168
3 Pt 0.252 0.250 0.503
4 Pt 0.416 0.750 0.832
5 Au 0.084 0.750 0.169
6 Au 0.916 0.250 0.831

## Properties
SG: Cmcm, No. 63
DFT formation energy, eV/atom: 0.068



8.
First-principles (GGA-PBEsol) data for an optimized crystal structure of FeTc3Cl, as listed in Alexandria via LeMat-Bulk.

Unit cell a=4.411 b=4.411 c=4.411 alpha=90.00 beta=90.00 gamma=90.00
Site moments in Bohr magnetons follow the coordinates.
Fractional positions:
1 Tc 0.000 0.500 0.000  0.97
2 Tc 0.500 0.000 0.000  0.97
3 Tc 0.000 0.000 0.500  0.97
4 Fe 0.000 0.000 0.000  -0.18
5 Cl 0.500 0.500 0.500  0.13

## Properties
Formation energy from raw total energies, eV/f.u.: 8.473
SG: Pm-3m, No. 221



9.
First-principles (GGA-PBEsol) data for an optimized crystal structure of Ho3Cu3Sb4, as listed in Alexandria via LeMat-Bulk.

Unit cell a=8.147 b=8.147 c=8.147 alpha=109.47 beta=109.47 gamma=109.47
Fractional positions:
1 Sb 0.000 0.500 0.662
2 Sb 0.662 0.000 0.000
3 Sb 0.500 0.162 0.500
4 Sb 0.838 0.838 0.338
5 Sb 0.000 0.500 0.162
6 Sb 0.338 0.338 0.838
7 Sb 0.162 0.000 0.000
8 Sb 0.500 0.662 0.500
9 Cu 0.250 0.375 0.125
10 Cu 0.750 0.125 0.375
11 Cu 0.625 0.250 0.875
12 Cu 0.125 0.875 0.250
13 Cu 0.375 0.625 0.750
14 Cu 0.875 0.750 0.625
15 Ho 0.875 0.125 0.750
16 Ho 0.625 0.375 0.250
17 Ho 0.250 0.875 0.625
18 Ho 0.375 0.750 0.125
19 Ho 0.125 0.250 0.375
20 Ho 0.750 0.625 0.875

## Properties
Formation energy from raw total energies, eV/f.u.: -7.590
SG: I-43d, No. 220



10.
First-principles (GGA-PBEsol) data for an optimized crystal structure of Os3Pt, as listed in Alexandria via LeMat-Bulk.

Unit cell a=2.703 b=2.703 c=7.762 alpha=90.00 beta=90.00 gamma=90.00
Fractional positions:
1 Os 0.000 0.000 0.258
2 Os 0.000 0.000 0.742
3 Os 0.500 0.500 0.500
4 Pt 0.500 0.500 0.000

## Properties
SG: P4/mmm, No. 123
DFT formation energy, eV/atom: 0.139



11.
First-principles (GGA-PBEsol) data for an optimized crystal structure of MgTlPb2, as listed in Alexandria via LeMat-Bulk.

Unit cell a=3.390 b=4.418 c=7.367 alpha=90.00 beta=89.88 gamma=90.00
Fractional positions:
1 Pb 0.000 0.000 0.272
2 Pb 0.000 0.000 0.728
3 Mg 0.500 0.500 0.500
4 Tl 0.500 0.500 0.000

## Properties
SG: P2/m, No. 10
DFT formation energy, eV/atom: -0.030



12.
First-principles (GGA-PBEsol) data for an optimized crystal structure of SiMoPt2, as listed in Alexandria via LeMat-Bulk.

Unit cell a=2.727 b=4.812 c=4.888 alpha=107.68 beta=90.00 gamma=106.46
Fractional positions:
1 Pt 0.989 0.978 0.986
2 Pt 0.777 0.555 0.302
3 Si 0.510 0.020 0.435
4 Mo 0.223 0.447 0.778

## Properties
Formation energy from raw total energies, eV/f.u.: -1.528
SG: Cm, No. 8



13.
First-principles (GGA-PBEsol) data for an optimized crystal structure of FeAuCl, as listed in Alexandria via LeMat-Bulk.

Unit cell a=4.261 b=4.261 c=4.261 alpha=60.00 beta=60.00 gamma=60.00
Site moments in Bohr magnetons follow the coordinates.
Fractional positions:
1 Au 0.500 0.500 0.500  0.01
2 Fe 0.000 0.000 0.000  3.08
3 Cl 0.750 0.750 0.750  0.06

## Properties
Formation energy from raw total energies, eV/f.u.: 2.637
SG: F-43m, No. 216



14.
First-principles (GGA-PBEsol) data for an optimized crystal structure of AlAu3, as listed in Alexandria via LeMat-Bulk.

Unit cell a=3.116 b=4.693 c=4.693 alpha=105.43 beta=90.00 gamma=90.00
Fractional positions:
1 Au 0.500 0.500 0.000
2 Au 0.000 0.500 0.500
3 Au 0.500 0.000 0.500
4 Al 0.000 0.000 0.000

## Properties
SG: Cmmm, No. 65
DFT formation energy, eV/atom: -0.198



15.
First-principles (GGA-PBEsol) data for an optimized crystal structure of LaReSe2Br, as listed in Alexandria via LeMat-Bulk.

Unit cell a=5.636 b=5.670 c=5.670 alpha=90.00 beta=90.00 gamma=90.00
Site moments in Bohr magnetons follow the coordinates.
Fractional positions:
1 Se 0.000 0.000 0.500  -0.08
2 Se 0.000 0.500 0.000  -0.08
3 La 0.000 0.000 0.000  0.01
4 Re 0.500 0.500 0.500  4.35
5 Br 0.500 0.000 0.000  0.04

## Properties
Formation energy from raw total energies, eV/f.u.: 3.451
SG: P4/mmm, No. 123



16.
First-principles (GGA-PBEsol) data for an optimized crystal structure of ScRh2Se, as listed in Alexandria via LeMat-Bulk.

Unit cell a=3.880 b=3.880 c=4.860 alpha=113.53 beta=113.53 gamma=90.00
Fractional positions:
1 Sc 0.500 0.500 0.000
2 Rh 0.250 0.750 0.500
3 Rh 0.750 0.250 0.500
4 Se 0.000 0.000 0.000

## Properties
Formation energy from raw total energies, eV/f.u.: -2.558
SG: I4/mmm, No. 139



17.
First-principles (GGA-PBEsol) data for an optimized crystal structure of CaHgSe2, as listed in Alexandria via LeMat-Bulk.

Unit cell a=4.504 b=4.504 c=8.018 alpha=73.69 beta=73.69 gamma=60.00
Fractional positions:
1 Hg 0.000 0.000 0.000
2 Se 0.107 0.107 0.680
3 Se 0.893 0.893 0.320
4 Ca 0.500 0.500 0.500

## Properties
Formation energy from raw total energies, eV/f.u.: -3.930
SG: R-3m, No. 166



18.
First-principles (GGA-PBEsol) data for an optimized crystal structure of Re3Au, as listed in Alexandria via LeMat-Bulk.

Unit cell a=2.760 b=2.760 c=9.313 alpha=81.48 beta=81.48 gamma=60.00
Fractional positions:
1 Re 0.246 0.246 0.263
2 Re 0.500 0.500 0.500
3 Re 0.754 0.754 0.737
4 Au 0.000 0.000 0.000

## Properties
SG: R-3m, No. 166
DFT formation energy, eV/atom: 0.194



19.
First-principles (GGA-PBEsol) data for an optimized crystal structure of Sc2AgPd2, as listed in Alexandria via LeMat-Bulk.

Unit cell a=3.299 b=7.362 c=7.362 alpha=90.00 beta=90.00 gamma=90.00
Fractional positions:
1 Sc 0.500 0.668 0.832
2 Sc 0.500 0.832 0.332
3 Sc 0.500 0.168 0.668
4 Sc 0.500 0.332 0.168
5 Pd 0.000 0.633 0.133
6 Pd 0.000 0.867 0.633
7 Pd 0.000 0.133 0.367
8 Pd 0.000 0.367 0.867
9 Ag 0.000 0.500 0.500
10 Ag 0.000 0.000 0.000

## Properties
SG: P4/mbm, No. 127
DFT formation energy, eV/atom: -0.689



20.
First-principles (GGA-PBEsol) data for an optimized crystal structure of BeHgRu, as listed in Alexandria via LeMat-Bulk.

Unit cell a=2.824 b=2.824 c=6.251 alpha=90.00 beta=90.00 gamma=120.00
Fractional positions:
1 Be 0.000 0.000 0.031
2 Ru 0.667 0.333 0.292
3 Hg 0.333 0.667 0.678

## Properties
SG: P3m1, No. 156
DFT formation energy, eV/atom: 0.378



21.
First-principles (GGA-PBEsol) data for an optimized crystal structure of Li5SbS, as listed in Alexandria via LeMat-Bulk.

Unit cell a=7.827 b=7.902 c=8.448 alpha=90.00 beta=91.63 gamma=90.00
Fractional positions:
1 Sb 0.828 0.251 0.737
2 Sb 0.666 0.751 0.991
3 Sb 0.172 0.751 0.263
4 Sb 0.334 0.251 0.009
5 Li 0.006 0.750 0.538
6 Li 0.731 0.577 0.714
7 Li 0.340 0.909 0.980
8 Li 0.660 0.094 0.020
9 Li 0.003 0.751 0.975
10 Li 0.660 0.409 0.020
11 Li 0.732 0.925 0.714
12 Li 0.156 0.431 0.731
13 Li 0.517 0.750 0.264
14 Li 0.997 0.251 0.025
15 Li 0.994 0.250 0.462
16 Li 0.340 0.594 0.980
17 Li 0.268 0.425 0.286
18 Li 0.269 0.077 0.286
19 Li 0.844 0.572 0.269
20 Li 0.483 0.250 0.736
21 Li 0.156 0.072 0.731
22 Li 0.613 0.252 0.443
23 Li 0.844 0.931 0.269
24 Li 0.387 0.752 0.557
25 S 0.299 0.251 0.515
26 S 0.187 0.751 0.763
27 S 0.813 0.251 0.237
28 S 0.701 0.751 0.485

## Properties
Formation energy from raw total energies, eV/f.u.: -6.005
SG: P2_1, No. 4



22.
First-principles (GGA-PBEsol) data for an optimized crystal structure of Bi2PO6, as listed in Alexandria via LeMat-Bulk.

Unit cell a=6.904 b=6.904 c=10.334 alpha=90.00 beta=107.50 gamma=90.00
Fractional positions:
1 O 0.733 0.388 0.133
2 O 0.899 0.478 0.785
3 O 0.507 0.427 0.620
4 O 0.184 0.289 0.949
5 O 0.101 0.978 0.715
6 O 0.430 0.794 0.635
7 O 0.184 0.211 0.449
8 O 0.267 0.888 0.367
9 O 0.101 0.522 0.215
10 O 0.507 0.073 0.120
11 O 0.816 0.789 0.551
12 O 0.570 0.206 0.365
13 O 0.430 0.706 0.135
14 O 0.493 0.927 0.880
15 O 0.570 0.294 0.865
16 O 0.838 0.647 0.305
17 O 0.267 0.612 0.867
18 O 0.493 0.573 0.380
19 O 0.816 0.711 0.051
20 O 0.733 0.112 0.633
21 O 0.838 0.853 0.805
22 O 0.899 0.022 0.285
23 O 0.162 0.353 0.695
24 O 0.162 0.147 0.195
25 Bi 0.602 0.624 0.819
26 Bi 0.602 0.876 0.319
27 Bi 0.248 0.902 0.974
28 Bi 0.248 0.598 0.474
29 Bi 0.398 0.376 0.181
30 Bi 0.752 0.402 0.526
31 Bi 0.398 0.124 0.681
32 Bi 0.752 0.098 0.026
33 P 0.127 0.430 0.827
34 P 0.127 0.070 0.327
35 P 0.873 0.570 0.173
36 P 0.873 0.930 0.673

## Properties
Formation energy from raw total energies, eV/f.u.: -14.239
SG: P2_1/c, No. 14



23.
First-principles (GGA-PBEsol) data for an optimized crystal structure of BeFe2Ir, as listed in Alexandria via LeMat-Bulk.

Unit cell a=2.557 b=2.557 c=7.675 alpha=90.00 beta=90.00 gamma=113.72
Site moments in Bohr magnetons follow the coordinates.
Fractional positions:
1 Fe 0.500 0.500 0.764  2.64
2 Fe 0.000 0.000 0.013  2.20
3 Ir 0.000 0.000 0.481  0.19
4 Be 0.500 0.500 0.242  -0.04

## Properties
SG: Cmm2, No. 35
DFT formation energy, eV/atom: 0.040



In Mg/m³, the ρ values for the records above are, in order, 6.25; 5.00; 4.11; 11.25; 15.32; 2.21; 20.85; 7.45; 9.35; 22.42; 9.68; 14.63; 8.75; 15.51; 5.16; 9.07; 4.97; 20.72; 7.63; 11.95; 2.40; 7.70; 11.31.